Here is crystalline MgZrNi2F at its relaxed geometry from Alexandria. Energies are from GGA+U.

a b c (Å): 4.596 3.583 4.596
angles (deg): 90.00 90.00 90.00
Element x y z (fractional)
Ni (0.000, 0.000, 0.500)
Ni (0.500, 0.000, 0.000)
Mg (0.000, 0.500, 0.000)
Zr (0.500, 0.500, 0.500)
F (0.000, 0.000, 0.000)

Properties
Space group: P4/mmm
E_tot, eV/f.u.: -15.95
DOS at the Fermi energy, states/eV per atom: 0.961